VASP calculation (PBE-GGA) on a relaxed Cs2IrF4 crystal.

a b c (Å): 4.5014 4.5014 7.9140
angles (deg): 73.48 73.48 90.00
Last column: nearest neighbours and their distance in Å.
Atoms (fractional coordinates):
F: 0.8558 0.8558 0.2885  1 Ir 2.09
F: 0.1442 0.1442 0.7115  1 Ir 2.09
F: 0.5000 0.0000 0.0000  2 Ir 2.25
F: 0.0000 0.5000 0.0000  2 Ir 2.25
Ir: 0.0000 0.0000 0.0000  6 F 2.09-2.25
Cs: 0.6427 0.6427 0.7146  9 F 3.06-3.18
Cs: 0.3573 0.3573 0.2854  9 F 3.06-3.18

Output
DOS at the Fermi energy: 1.49 states/eV per cell
E_form (uncorrected): -1.836 eV per atom
E: -4.4148 eV per atom